DFT (PBE) results for a geometry-optimized TbMgSc6 structure.

a b c (Å): 6.6608 6.6608 5.2386
angles (deg): 90.00 90.00 120.00
Space group P-6m2 (No. 187)
Unique sites:
Tb1 0.0000 0.0000 0.0000
Mg1 0.3333 0.6667 0.5000
Sc1 0.3330 0.1665 0.5000
Sc2 0.5029 0.0057 0.0000

Results
total magnetic moment: 0.462 μB per formula unit
ΔH_f (0 K): 0.044 eV/atom
DOS at the Fermi energy: 1.797 states/eV per atom

DFT (PBE) results for a geometry-optimized TbMg3Sc structure.

a b c (Å): 5.696 7.887 11.960
angles (deg): 90.00 90.00 90.00
Space group Imma (No. 74)
Unique sites:
Tb1 0.000 0.000 0.000
Mg1 0.000 0.067 0.306
Mg2 0.250 0.250 0.750
Sc1 0.000 0.250 0.528

Results
total magnetic moment: 0.003 μB per formula unit
polymorph energy (0 for the lowest one): 121 meV per atom
ΔH_f (0 K): 0.182 eV/atom
DOS at the Fermi energy: 1.221 states/eV per atom

DFT (PBE) results for a geometry-optimized TbMg3Sc2 structure.

a b c (Å): 3.661 3.661 11.036
angles (deg): 90.00 90.00 90.00
Space group P4/mmm (No. 123)
Unique sites:
Tb1 0.000 0.000 0.000
Mg1 0.500 0.500 0.184
Mg2 0.500 0.500 0.500
Sc1 0.000 0.000 0.340

Results
total magnetic moment: 0.001 μB per formula unit
ΔH_f (0 K): -0.048 eV/atom
DOS at the Fermi energy: 1.515 states/eV per atom

DFT (PBE) results for a geometry-optimized Tb3Mg12Sc structure.

a b c (Å): 4.619 4.619 18.694
angles (deg): 90.00 90.00 90.00
Space group P4/mmm (No. 123)
Unique sites:
Tb1 0.000 0.000 0.000
Tb2 0.000 0.000 0.255
Mg1 0.000 0.500 0.128
Mg2 0.000 0.500 0.381
Mg3 0.500 0.500 0.000
Mg4 0.500 0.500 0.255
Mg5 0.500 0.500 0.500
Sc1 0.000 0.000 0.500

Results
total magnetic moment: 0.000 μB per formula unit
ΔH_f (0 K): -0.057 eV/atom
DOS at the Fermi energy: 0.828 states/eV per atom

DFT (PBE) results for a geometry-optimized Tb8MgSc2 structure.

a b c (Å): 5.344 7.754 16.205
angles (deg): 90.00 90.00 90.00
Space group Immm (No. 71)
Unique sites:
Tb1 0.000 0.000 0.175
Tb2 0.000 0.214 0.362
Tb3 0.000 0.282 0.000
Mg1 0.000 0.500 0.500
Sc1 0.000 0.500 0.195

Results
total magnetic moment: 0.000 μB per formula unit
polymorph energy (0 for the lowest one): 83 meV per atom
ΔH_f (0 K): 0.111 eV/atom
DOS at the Fermi energy: 1.848 states/eV per atom

DFT (PBE) results for a geometry-optimized Tb2MgSc7 structure.

a b c (Å): 6.029 26.930 3.227
angles (deg): 90.00 90.00 90.00
Space group Cmmm (No. 65)
Unique sites:
Tb1 0.000 0.209 0.000
Mg1 0.000 0.500 0.500
Sc1 0.000 0.000 0.000
Sc2 0.000 0.319 0.500
Sc3 0.247 0.404 0.000

Results
total magnetic moment: 0.000 μB per formula unit
ΔH_f (0 K): 0.161 eV/atom
DOS at the Fermi energy: 1.570 states/eV per atom

DFT (PBE) results for a geometry-optimized Tb7Mg2Sc2 structure.

a b c (Å): 11.393 10.942 5.651
angles (deg): 90.00 111.81 90.00
Space group C2/m (No. 12)
Unique sites:
Tb1 0.000 0.000 0.000
Tb2 0.189 0.214 0.187
Tb3 0.222 0.000 0.656
Mg1 0.062 0.500 0.780
Sc1 0.000 0.220 0.500

Results
total magnetic moment: 0.000 μB per formula unit
ΔH_f (0 K): 0.173 eV/atom
DOS at the Fermi energy: 1.211 states/eV per atom

DFT (PBE) results for a geometry-optimized TbMg6Sc2 structure.

a b c (Å): 8.8989 8.8989 3.1806
angles (deg): 90.00 90.00 120.00
Space group P6/mmm (No. 191)
Unique sites:
Tb1 0.0000 0.0000 0.0000
Mg1 0.0000 0.3381 0.5000
Sc1 0.3333 0.6667 0.0000

Results
total magnetic moment: 0.000 μB per formula unit
polymorph energy (0 for the lowest one): 0 meV per atom
ΔH_f (0 K): -0.032 eV/atom
DOS at the Fermi energy: 0.752 states/eV per atom

DFT (PBE) results for a geometry-optimized Tb2Mg4Sc structure.

a b c (Å): 5.334 5.334 15.894
angles (deg): 90.00 90.00 90.00
Space group I4/mmm (No. 139)
Unique sites:
Tb1 0.000 0.000 0.109
Mg1 0.000 0.000 0.319
Mg2 0.000 0.500 0.000
Sc1 0.000 0.000 0.500

Results
total magnetic moment: 0.000 μB per formula unit
polymorph energy (0 for the lowest one): 491 meV per atom
ΔH_f (0 K): 0.517 eV/atom
DOS at the Fermi energy: 1.303 states/eV per atom

DFT (PBE) results for a geometry-optimized Tb8MgSc2 structure.

a b c (Å): 17.632 4.955 7.780
angles (deg): 90.00 105.72 90.00
Space group C2/m (No. 12)
Unique sites:
Tb1 0.047 0.000 0.223
Tb2 0.094 0.500 0.953
Tb3 0.139 0.000 0.690
Tb4 0.183 0.500 0.415
Mg1 0.000 0.500 0.500
Sc1 0.226 0.000 0.135

Results
total magnetic moment: 0.000 μB per formula unit
polymorph energy (0 for the lowest one): 0 meV per atom
ΔH_f (0 K): 0.028 eV/atom
DOS at the Fermi energy: 1.433 states/eV per atom

DFT (PBE) results for a geometry-optimized Tb6MgSc3 structure.

a b c (Å): 10.735 4.916 10.922
angles (deg): 90.00 91.27 90.00
Space group P2_1/m (No. 11)
Unique sites:
Tb1 0.048 0.250 0.399
Tb2 0.144 0.750 0.198
Tb3 0.242 0.250 0.995
Tb4 0.342 0.750 0.798
Tb5 0.348 0.250 0.298
Tb6 0.448 0.250 0.599
Mg1 0.453 0.750 0.093
Sc1 0.049 0.750 0.898
Sc2 0.150 0.250 0.698
Sc3 0.250 0.750 0.500

Results
total magnetic moment: 0.000 μB per formula unit
ΔH_f (0 K): 0.033 eV/atom
DOS at the Fermi energy: 1.522 states/eV per atom

DFT (PBE) results for a geometry-optimized Tb5MgSc4 structure.

a b c (Å): 3.504 3.504 22.822
angles (deg): 90.00 90.00 90.00
Space group P4/mmm (No. 123)
Unique sites:
Tb1 0.000 0.000 0.000
Tb2 0.000 0.000 0.200
Tb3 0.000 0.000 0.401
Mg1 0.500 0.500 0.500
Sc1 0.500 0.500 0.100
Sc2 0.500 0.500 0.301

Results
total magnetic moment: 0.000 μB per formula unit
ΔH_f (0 K): 0.026 eV/atom
DOS at the Fermi energy: 1.602 states/eV per atom